{
  "formula": "NdPuRh2",
  "functional": "GGA-PBE",
  "state": "optimized geometry",
  "lattice": [[0.000, 3.485, 3.485], [3.485, 0.000, 3.485], [3.485, 3.485, 0.000]],
  "species": ["Nd", "Pu", "Rh", "Rh"],
  "fractional_positions": [[0.000, 0.000, 0.000], [0.500, 0.500, 0.500], [0.250, 0.250, 0.250], [0.750, 0.750, 0.750]],
  "crystal_system": "cubic",
  "total_magnetization_mub_per_cell": 4.7,
  "total_energy_ev_per_atom": -8.95
}